[1]
{
  "formula": "Tb2Nd2Ge3",
  "functional": "GGA-PBE",
  "state": "optimized geometry",
  "lattice": [[6.7465, -2.0911, 0.0000], [6.7465, 2.0911, 0.0000], [-1.4501, 0.0000, 7.5437]],
  "species": ["Tb", "Tb", "Nd", "Nd", "Ge", "Ge", "Ge"],
  "frac_coords": [[0.1317, 0.1317, 0.4011], [0.8683, 0.8683, 0.5989], [0.3693, 0.3693, 0.1398], [0.6307, 0.6307, 0.8602], [0.2650, 0.2650, 0.7609], [0.5000, 0.5000, 0.5000], [0.7350, 0.7350, 0.2391]]
}

---

[2]
{
  "formula": "MgZr2Re",
  "functional": "GGA-PBE",
  "state": "optimized geometry",
  "lattice": [[3.4451, 0.0000, 0.0000], [0.0000, 3.4451, 0.0000], [0.0000, 0.0000, 6.6524]],
  "species": ["Mg", "Zr", "Zr", "Re"],
  "frac_coords": [[0.0000, 0.0000, 0.0000], [0.0000, 0.0000, 0.4412], [0.5000, 0.5000, 0.7108], [0.5000, 0.5000, 0.2338]]
}

---

[3]
{
  "formula": "LaCdRu",
  "functional": "GGA-PBE",
  "state": "optimized geometry",
  "lattice": [[0.0000, 3.4546, 3.4546], [3.4546, 0.0000, 3.4546], [3.4546, 3.4546, 0.0000]],
  "species": ["La", "Cd", "Ru"],
  "frac_coords": [[0.0000, 0.0000, 0.0000], [0.2500, 0.2500, 0.2500], [0.7500, 0.7500, 0.7500]]
}

---

[4]
{
  "formula": "Li2ZrTc",
  "functional": "GGA-PBE",
  "state": "optimized geometry",
  "lattice": [[2.6792, 0.0000, 0.0000], [0.0000, 4.7154, 0.0000], [0.0000, 0.0000, 5.2810]],
  "species": ["Li", "Li", "Zr", "Tc"],
  "frac_coords": [[0.0000, 0.0000, 0.2201], [0.0000, 0.0000, 0.7799], [0.5000, 0.5000, 0.5000], [0.5000, 0.5000, 0.0000]]
}

---

[5]
{
  "formula": "ZrUTiZn",
  "functional": "GGA-PBE",
  "state": "optimized geometry",
  "lattice": [[0.0000, 3.3718, 3.3718], [3.3718, 0.0000, 3.3718], [3.3718, 3.3718, 0.0000]],
  "species": ["Zr", "U", "Ti", "Zn"],
  "frac_coords": [[0.0000, 0.0000, 0.0000], [0.7500, 0.7500, 0.7500], [0.5000, 0.5000, 0.5000], [0.2500, 0.2500, 0.2500]]
}

---

[6]
{
  "formula": "CdSn2Pd2",
  "functional": "GGA-PBE",
  "state": "optimized geometry",
  "lattice": [[7.4162, 0.0000, 0.0000], [0.0000, 7.4162, 0.0000], [0.0000, 0.0000, 3.7329]],
  "species": ["Cd", "Cd", "Sn", "Sn", "Sn", "Sn", "Pd", "Pd", "Pd", "Pd"],
  "frac_coords": [[0.0000, 0.0000, 0.0000], [0.5000, 0.5000, 0.0000], [0.1579, 0.3421, 0.5000], [0.3421, 0.8421, 0.5000], [0.6579, 0.1579, 0.5000], [0.8421, 0.6579, 0.5000], [0.1406, 0.6406, 0.0000], [0.3594, 0.1406, 0.0000], [0.6406, 0.8594, 0.0000], [0.8594, 0.3594, 0.0000]]
}

---

no.,volume (Å³ per cell),calculated formation energy (eV per formula unit)
1,212.8,-4.25
2,79.0,0.56
3,82.5,2.16
4,66.7,1.18
5,76.7,1.02
6,205.3,-1.60